Entry from the Alexandria database: an optimized crystal structure of K2RbWF6 (PBE with a Hubbard U).

As for the density of states at the Fermi level: 0.0 states/eV per cell. The theoretical density comes out at 3.9 g/cm³. For the total energy, the calculation gives -4.86 eV/atom. As for the volume: 195.4 Å³/f.u.

Unit cell a=6.414 b=6.732 c=9.051 alpha=90.00 beta=89.58 gamma=90.00
Last column: magnetic moment on the atom in μB.
Sites, in units of the cell vectors:
K: 0.012 0.953 0.263  0.00
K: 0.512 0.547 0.763  0.00
K: 0.988 0.047 0.737  0.00
K: 0.488 0.453 0.237  0.00
Rb: 0.500 0.000 0.000  0.00
Rb: 0.000 0.500 0.500  0.00
W: 0.500 0.000 0.500  0.94
W: 0.000 0.500 0.000  0.94
F: 0.279 0.661 0.036  0.01
F: 0.779 0.839 0.536  0.01
F: 0.721 0.339 0.964  0.01
F: 0.221 0.161 0.464  0.01
F: 0.346 0.743 0.417  0.01
F: 0.846 0.757 0.917  0.01
F: 0.654 0.257 0.583  0.01
F: 0.154 0.243 0.083  0.01
F: 0.877 0.583 0.210  0.00
F: 0.377 0.917 0.710  0.00
F: 0.123 0.417 0.790  0.00
F: 0.623 0.083 0.290  0.00